Record 1
Ac12MgTl7: optimized geometry, PBE-GGA.

## Properties
Energy relative to the elements ... -0.171 eV/atom
Density ... 9.11 Mg/m³

POSCAR file:
```
Ac12MgTl7
1.0
7.881 4.550 3.540
-7.881 4.550 3.540
0.000 -9.100 3.540
Ac Mg Tl
12 1 7
Cartesian
-5.530 1.470 4.412
-0.724 -2.323 2.905
-4.038 -4.054 6.209
-1.650 1.789 2.905
1.492 -5.524 4.412
2.374 0.534 2.905
-2.374 -0.534 7.715
-1.492 5.524 6.209
1.650 -1.789 7.715
4.038 4.054 4.412
0.724 2.323 7.715
5.530 -1.470 6.209
0.000 0.000 5.310
0.000 0.000 0.000
-3.452 -1.067 4.507
-0.801 -3.523 6.113
-2.650 2.455 6.113
2.650 -2.456 4.507
0.801 3.523 4.507
3.452 1.067 6.113
```



Record 2
AgSn4Se5: optimized geometry, PBE-GGA.

## Properties
Formation energy from raw total energies ... -0.364 eV per atom
Density ... 6.23 Mg/m³

POSCAR file:
```
AgSn4Se5
1.0
-4.699 4.699 2.952
4.699 -4.699 2.952
4.699 4.699 -2.952
Ag Sn Se
1 4 5
Cartesian
0.000 0.000 0.000
3.813 1.896 0.010
2.804 -0.886 2.962
1.896 5.586 0.010
0.886 2.804 2.962
6.601 0.909 0.014
0.909 2.797 0.014
0.000 0.000 2.963
3.790 1.902 2.966
-1.902 3.790 2.966
```



Record 3
GaGeOs2Br: optimized geometry, PBE-GGA.

## Properties
Formation energy from raw total energies ... 2.022 eV per atom
Density ... 9.08 Mg/m³

POSCAR file:
```
GaGeOs2Br
1.0
4.586 0.000 0.000
0.000 4.586 0.000
0.000 0.000 5.238
Ga Ge Os Br
1 1 2 1
Cartesian
0.000 0.000 0.000
2.293 2.293 0.000
0.000 2.293 2.619
2.293 0.000 2.619
0.000 0.000 2.619
```



Record 4
Pm2ErIO8: optimized geometry, PBE-GGA.

## Properties
Formation energy from raw total energies ... -2.282 eV per atom
Density ... 6.50 Mg/m³

POSCAR file:
```
Pm2ErIO8
1.0
3.590 -3.667 0.000
3.590 3.667 0.000
0.000 0.000 6.904
Pm Er I O
2 1 1 8
Cartesian
0.000 0.000 1.725
0.000 0.000 5.179
3.590 0.000 0.000
3.590 0.000 3.452
1.423 0.000 0.000
1.703 0.000 3.452
3.590 1.289 2.017
3.590 1.289 4.887
3.590 -1.289 2.017
3.590 -1.289 4.887
5.477 0.000 3.452
5.757 0.000 0.000
```



Record 5
PrDyYN3: optimized geometry, PBE-GGA.

## Properties
Formation energy from raw total energies ... -1.379 eV per atom
Density ... 7.50 Mg/m³

POSCAR file:
```
PrDyYN3
1.0
6.075 0.000 0.000
0.000 3.535 0.000
-1.868 0.000 8.957
Pr Dy Y N
2 2 2 6
Cartesian
0.577 0.884 1.783
3.630 2.652 7.175
0.525 0.884 7.699
3.682 2.652 1.258
0.616 2.652 4.874
3.591 0.884 4.083
-0.991 0.884 5.967
-0.299 2.652 8.874
2.176 2.652 3.099
2.031 0.884 5.858
4.506 0.884 0.083
5.198 2.652 2.991
```



Record 6
Mg2FeTe: optimized geometry, PBE-GGA.

## Properties
Formation energy from raw total energies ... 0.058 eV per atom
Density ... 4.48 Mg/m³

POSCAR file:
```
Mg2FeTe
1.0
-1.556 2.271 6.078
1.556 -2.271 6.078
1.556 2.271 -6.078
Mg Fe Te
2 1 1
Cartesian
0.000 0.000 0.000
0.000 2.271 2.027
0.000 0.000 5.865
1.556 0.000 3.844
```



Record 7
Ho2PuMg: optimized geometry, PBE-GGA.

## Properties
Energy relative to the elements ... 0.146 eV/atom
Energy above the lowest structure with this stoichiometry ... 96 meV per atom
Density ... 8.77 Mg/m³

POSCAR file:
```
Ho2PuMg
1.0
0.000 3.840 3.840
3.840 0.000 3.840
3.840 3.840 0.000
Ho Pu Mg
2 1 1
Cartesian
1.920 1.920 1.920
5.761 5.761 5.761
0.000 0.000 0.000
3.840 3.840 3.840
```



Record 8
Ac6NiRhAu2: optimized geometry, PBE-GGA.

## Properties
Energy relative to the elements ... -0.491 eV/atom
Density ... 8.80 Mg/m³

POSCAR file:
```
Ac6NiRhAu2
1.0
3.908 2.256 6.837
-3.908 2.256 6.837
0.000 -4.512 6.837
Ac Ni Rh Au
6 1 1 2
Cartesian
-0.979 -2.195 6.837
-2.487 -0.316 10.262
-1.411 1.946 6.837
1.517 -1.995 10.262
2.391 0.249 6.837
0.969 2.312 10.262
0.000 0.000 18.900
0.000 0.000 8.659
0.000 0.000 4.678
0.000 0.000 14.945
```



Record 9
BeZn2Cl: optimized geometry, PBE-GGA.

## Properties
Energy above the lowest structure with this stoichiometry ... 239 meV per atom
Formation energy from raw total energies ... 0.147 eV per atom
Density ... 4.32 Mg/m³

POSCAR file:
```
BeZn2Cl
1.0
1.597 -2.781 0.000
1.597 2.781 0.000
0.000 0.000 7.585
Be Zn Cl
1 2 1
Cartesian
0.000 0.000 0.000
1.597 0.000 1.718
1.597 0.000 5.867
0.000 0.000 3.793
```



Record 10
LaPa4Re3N12: optimized geometry, PBE-GGA.

## Properties
Formation energy from raw total energies ... -0.674 eV per atom
Density ... 10.55 Mg/m³

POSCAR file:
```
LaPa4Re3N12
1.0
-4.130 4.130 4.130
4.130 -4.130 4.130
4.130 4.130 -4.130
La Pa Re N
1 4 3 12
Cartesian
0.000 0.000 0.000
2.065 2.065 -2.065
2.065 -2.065 2.065
-2.065 2.065 2.065
2.065 2.065 2.065
4.130 0.000 0.000
0.000 4.130 0.000
0.000 0.000 4.130
2.631 1.299 0.000
5.629 1.299 0.000
4.130 -1.499 2.831
2.831 4.130 -1.499
1.299 0.000 2.631
0.000 2.631 1.299
4.130 1.499 2.831
2.831 4.130 1.499
1.299 0.000 5.629
0.000 5.629 1.299
-1.499 2.831 4.130
1.499 2.831 4.130
```



Record 11
Cs2RbCdIn: optimized geometry, PBE-GGA.

## Properties
Energy relative to the elements ... 0.070 eV/atom
Energy above the lowest structure with this stoichiometry ... 0 meV per atom
Density ... 2.94 Mg/m³

POSCAR file:
```
Cs2RbCdIn
1.0
7.515 0.000 0.000
0.000 7.515 0.000
0.000 0.000 5.793
Cs Rb Cd In
2 1 1 1
Cartesian
0.000 3.758 0.000
3.758 0.000 0.000
0.000 0.000 2.897
3.758 3.758 0.000
3.758 3.758 2.897
```



Record 12
YAlSe3: optimized geometry, PBE-GGA.

## Properties
Energy above the lowest structure with this stoichiometry ... 1039 meV per atom
Formation energy from raw total energies ... -0.331 eV per atom
Density ... 3.51 Mg/m³

POSCAR file:
```
YAlSe3
1.0
5.505 0.000 0.000
0.000 5.505 0.000
0.000 0.000 5.505
Y Al Se
1 1 3
Cartesian
0.000 0.000 0.000
2.753 2.753 2.753
0.000 0.000 2.753
0.000 2.753 0.000
2.753 0.000 0.000
```